1.
## TmPuGeIr (PBE)

Data for crystalline TmPuGeIr at its relaxed geometry.

Values from the calculation:
calculated formation energy = -0.518 eV/atom
space group = F-43m (216)
N(E_F) = 7.6 states/eV/cell

Unit cell a=4.9221 b=4.9221 c=4.9221 alpha=60.00 beta=60.00 gamma=60.00
With the nearest neighbours (Å) after each atom.
Positions (direct):
Tm 0.0000 0.0000 0.0000  4 Ir 3.01, 4 Ge 3.01
Pu 0.5000 0.5000 0.5000  4 Ge 3.01, 4 Ir 3.01
Ge 0.2500 0.2500 0.2500  4 Pu 3.01, 4 Tm 3.01
Ir 0.7500 0.7500 0.7500  4 Pu 3.01, 4 Tm 3.01

=====

2.
## CaPmInGa (PBE)

Data for crystalline CaPmInGa at its relaxed geometry.

Values from the calculation:
calculated formation energy = -0.490 eV/atom
space group = P4mm (99)
N(E_F) = 2.0 states/eV/cell
distance to the lowest polymorph of the same formula = 0.0 kJ per mole of atoms

Unit cell a=3.7321 b=3.7321 c=7.6508 alpha=90.00 beta=90.00 gamma=90.00
With the nearest neighbours (Å) after each atom.
Positions (direct):
Ca 0.0000 0.0000 0.0000  4 Ga 3.20, 4 In 3.31
Pm 0.0000 0.0000 0.5298  4 Ga 3.19, 4 In 3.35
In 0.5000 0.5000 0.2607  4 Ca 3.31, 4 Pm 3.35
Ga 0.5000 0.5000 0.7638  4 Pm 3.19, 4 Ca 3.20

=====

3.
## Hf3TlPd (PBE)

Data for crystalline Hf3TlPd at its relaxed geometry.

Values from the calculation:
calculated formation energy = 0.369 eV/atom
space group = Pm-3m (221)
N(E_F) = 4.0 states/eV/cell
distance to the lowest polymorph of the same formula = 0.0 kJ per mole of atoms

Unit cell a=5.0279 b=5.0279 c=5.0279 alpha=90.00 beta=90.00 gamma=90.00
With the nearest neighbours (Å) after each atom.
Positions (direct):
Hf 0.0000 0.0000 0.5000  2 Pd 2.51
Hf 0.0000 0.5000 0.0000  2 Pd 2.51
Hf 0.5000 0.0000 0.0000  2 Pd 2.51
Tl 0.5000 0.5000 0.5000  12 Hf 3.56
Pd 0.0000 0.0000 0.0000  6 Hf 2.51

=====

4.
## SnMoBr6 (PBE)

Data for crystalline SnMoBr6 at its relaxed geometry.

Values from the calculation:
space group = C2/c (15)
uncorrected energy = -3.70 eV/atom
N(E_F) = 10.7 states/eV/cell

Unit cell a=7.4438 b=7.4438 c=10.5007 alpha=92.05 beta=92.05 gamma=89.75
With the nearest neighbours (Å) after each atom.
Positions (direct):
Sn 0.1415 0.8585 0.7500  4 Br 2.82-3.00
Sn 0.8585 0.1415 0.2500  4 Br 2.82-3.00
Mo 0.0000 0.5000 0.5000  6 Br 2.52-2.60
Mo 0.5000 0.0000 0.0000  6 Br 2.52-2.60
Br 0.0430 0.4989 0.2593  1 Mo 2.56
Br 0.1544 0.1979 0.5010  1 Mo 2.52
Br 0.1979 0.1544 0.0010  1 Mo 2.52
Br 0.3035 0.6637 0.5494  1 Mo 2.60, 1 Sn 2.82
Br 0.3363 0.6965 0.9506  1 Mo 2.60, 1 Sn 2.82
Br 0.4989 0.0430 0.7593  1 Mo 2.56
Br 0.5011 0.9570 0.2407  1 Mo 2.56
Br 0.6637 0.3035 0.0494  1 Mo 2.60, 1 Sn 2.82
Br 0.6965 0.3363 0.4506  1 Mo 2.60, 1 Sn 2.82
Br 0.8021 0.8456 0.9990  1 Mo 2.52
Br 0.8456 0.8021 0.4990  1 Mo 2.52
Br 0.9570 0.5011 0.7407  1 Mo 2.56

=====

5.
## TaPCl2 (PBE)

Data for crystalline TaPCl2 at its relaxed geometry.

Values from the calculation:
space group = Imm2 (44)
N(E_F) = 1.2 states/eV/cell
distance to the lowest polymorph of the same formula = 41.1 kJ per mole of atoms

Unit cell a=7.7401 b=7.7401 c=7.7401 alpha=158.05 beta=143.01 gamma=43.43
With the nearest neighbours (Å) after each atom.
Positions (direct):
Ta 0.0000 0.0000 0.0000  2 Cl 2.46, 2 P 2.54
P 0.8564 0.3564 0.5000  2 Ta 2.54
Cl 0.1370 0.6370 0.5000  2 Ta 2.46
Cl 0.5004 0.5004 0.0000  4 Ta 2.86, 4 Cl 2.95-3.14

=====

6.
## TbMn6Sn4Ge2 (PBE)

Data for crystalline TbMn6Sn4Ge2 at its relaxed geometry.

Values from the calculation:
calculated formation energy = -0.219 eV/atom
space group = P6/mmm (191)
N(E_F) = 5.8 states/eV/cell

Unit cell a=5.3474 b=5.3474 c=8.7042 alpha=90.00 beta=90.00 gamma=120.00
With the nearest neighbours (Å) after each atom.
Positions (direct):
Tb 0.0000 0.0000 0.0000  2 Sn 2.91, 6 Ge 3.09
Mn 0.0000 0.5000 0.2329  2 Ge 2.55, 4 Mn 2.67, 4 Sn 2.79-2.82
Mn 0.0000 0.5000 0.7671  2 Ge 2.55, 4 Mn 2.67, 4 Sn 2.79-2.82
Mn 0.5000 0.0000 0.2329  2 Ge 2.55, 4 Mn 2.67, 4 Sn 2.79-2.82
Mn 0.5000 0.0000 0.7671  2 Ge 2.55, 4 Mn 2.67, 4 Sn 2.79-2.82
Mn 0.5000 0.5000 0.2329  2 Ge 2.55, 4 Mn 2.67, 4 Sn 2.79-2.82
Mn 0.5000 0.5000 0.7671  2 Ge 2.55, 4 Mn 2.67, 4 Sn 2.79-2.82
Sn 0.0000 0.0000 0.3346  6 Mn 2.82, 1 Sn 2.88, 1 Tb 2.91
Sn 0.0000 0.0000 0.6654  6 Mn 2.82, 1 Sn 2.88, 1 Tb 2.91
Sn 0.3333 0.6667 0.5000  6 Mn 2.79, 3 Sn 3.09
Sn 0.6667 0.3333 0.5000  6 Mn 2.79, 3 Sn 3.09
Ge 0.3333 0.6667 0.0000  6 Mn 2.55
Ge 0.6667 0.3333 0.0000  6 Mn 2.55

=====

7.
## V2Ni3Pd4 (PBE)

Data for crystalline V2Ni3Pd4 at its relaxed geometry.

Values from the calculation:
calculated formation energy = -0.184 eV/atom
space group = C2/m (12)
N(E_F) = 9.5 states/eV/cell

Unit cell a=4.6397 b=4.6397 c=7.9346 alpha=106.68 beta=106.68 gamma=47.74
With the nearest neighbours (Å) after each atom.
Positions (direct):
V 0.1733 0.1733 0.2348  5 Ni 2.53-2.73, 7 Pd 2.61-2.72
V 0.8267 0.8267 0.7652  5 Ni 2.53-2.73, 7 Pd 2.61-2.72
Ni 0.1717 0.1717 0.5537  3 V 2.53-2.59, 6 Pd 2.58-2.74, 3 Ni 2.59-2.77
Ni 0.5000 0.5000 0.0000  8 Pd 2.63-2.70, 4 V 2.73
Ni 0.8283 0.8283 0.4463  3 V 2.53-2.59, 6 Pd 2.58-2.74, 3 Ni 2.59-2.77
Pd 0.1648 0.1648 0.8892  4 Ni 2.65-2.70, 4 Pd 2.67-2.68, 4 V 2.69-2.72
Pd 0.4914 0.4914 0.6657  6 Ni 2.58-2.74, 3 V 2.61-2.70, 3 Pd 2.68
Pd 0.5086 0.5086 0.3343  6 Ni 2.58-2.74, 3 V 2.61-2.70, 3 Pd 2.68
Pd 0.8352 0.8352 0.1108  4 Ni 2.65-2.70, 4 Pd 2.67-2.68, 4 V 2.69-2.72

=====

8.
## TcPbC2 (PBE)

Data for crystalline TcPbC2 at its relaxed geometry.

Values from the calculation:
calculated formation energy = 0.963 eV/atom
space group = I-42d (122)
N(E_F) = 2.9 states/eV/cell
distance to the lowest polymorph of the same formula = 0.0 kJ per mole of atoms

Unit cell a=6.1471 b=6.1471 c=6.1471 alpha=128.54 beta=128.54 gamma=75.75
With the nearest neighbours (Å) after each atom.
Positions (direct):
Tc 0.0000 0.0000 0.0000  4 C 1.93
Tc 0.7500 0.2500 0.5000  4 C 1.93
Pb 0.2500 0.7500 0.5000  4 C 2.67
Pb 0.5000 0.5000 0.0000  4 C 2.67
C 0.0050 0.6250 0.8800  2 Tc 1.93
C 0.3750 0.2550 0.3800  2 Tc 1.93
C 0.7450 0.1250 0.1200  2 Tc 1.93
C 0.8750 0.9950 0.6200  2 Tc 1.93

=====

9.
## PmTcSn2 (PBE)

Data for crystalline PmTcSn2 at its relaxed geometry.

Values from the calculation:
calculated formation energy = -0.234 eV/atom
space group = P4/mmm (123)
N(E_F) = 3.5 states/eV/cell
distance to the lowest polymorph of the same formula = 0.0 kJ per mole of atoms

Unit cell a=3.4077 b=3.4077 c=7.6099 alpha=90.00 beta=90.00 gamma=90.00
With the nearest neighbours (Å) after each atom.
Positions (direct):
Pm 0.0000 0.0000 0.0000  8 Sn 3.31, 4 Pm 3.41
Tc 0.0000 0.0000 0.5000  8 Sn 2.85
Sn 0.5000 0.5000 0.2991  4 Tc 2.85, 1 Sn 3.06
Sn 0.5000 0.5000 0.7009  4 Tc 2.85, 1 Sn 3.06

=====

10.
## GdErTlRu (PBE)

Data for crystalline GdErTlRu at its relaxed geometry.

Values from the calculation:
calculated formation energy = -0.245 eV/atom
space group = F-43m (216)
N(E_F) = 2.3 states/eV/cell

Unit cell a=5.0846 b=5.0846 c=5.0846 alpha=60.00 beta=60.00 gamma=60.00
With the nearest neighbours (Å) after each atom.
Positions (direct):
Gd 0.0000 0.0000 0.0000  4 Tl 3.11, 4 Ru 3.11
Er 0.5000 0.5000 0.5000  4 Tl 3.11, 4 Ru 3.11
Tl 0.2500 0.2500 0.2500  4 Gd 3.11, 4 Er 3.11
Ru 0.7500 0.7500 0.7500  4 Gd 3.11, 4 Er 3.11

=====

11.
## Dy2OsCl (PBE)

Data for crystalline Dy2OsCl at its relaxed geometry.

Values from the calculation:
space group = Pmmm (47)
N(E_F) = 2.3 states/eV/cell
distance to the lowest polymorph of the same formula = 0.0 kJ per mole of atoms

Unit cell a=3.3795 b=3.4451 c=8.0667 alpha=90.00 beta=90.00 gamma=90.00
With the nearest neighbours (Å) after each atom.
Positions (direct):
Dy 0.0000 0.0000 0.2064  2 Cl 2.91, 4 Os 2.93
Dy 0.0000 0.0000 0.7936  2 Cl 2.91, 4 Os 2.93
Os 0.5000 0.5000 0.0000  8 Dy 2.93
Cl 0.5000 0.0000 0.5000  4 Dy 2.91